# 1
A relaxed PrScPt2 crystal, computed with PBE-GGA.

```
8
Lattice="4.647 0.000 0.000 0.000 6.878 0.000 0.000 0.000 5.523" Properties=species:S:1:pos:R:3 pbc="T T T"
Pr 1.162 1.720 0.962
Pr 3.486 5.159 4.561
Sc 1.162 5.159 1.809
Sc 3.486 1.720 3.714
Pt 1.162 0.218 3.743
Pt 1.162 3.222 3.743
Pt 3.486 3.657 1.780
Pt 3.486 6.661 1.780
```

Computed properties:
Energy relative to the lowest polymorph listed for this composition, meV per atom: 40
VASP energy, eV/cell: -55.16
Magnetic moment, μB/f.u.: 0.00

# 2
A relaxed KLi4Rh crystal, computed with PBE-GGA.

```
6
Lattice="0.000 3.873 3.873 3.873 0.000 3.873 3.873 3.873 0.000" Properties=species:S:1:pos:R:3 pbc="T T T"
K 0.000 0.000 0.000
Li 4.813 2.934 2.934
Li 2.934 4.813 2.934
Li 2.934 2.934 4.813
Li 4.813 4.813 4.813
Rh 1.937 1.937 1.937
```

Computed properties:
VASP energy, eV/cell: -14.47
Magnetic moment, μB/f.u.: 0.00

# 3
A relaxed La3Ho2Hg3 crystal, computed with PBE-GGA.

```
16
Lattice="3.803 0.000 0.000 0.000 5.564 0.000 0.000 0.000 22.782" Properties=species:S:1:pos:R:3 pbc="T T T"
La 0.000 0.000 0.000
La 0.000 2.782 2.799
La 0.000 2.782 19.984
La 1.901 0.000 8.593
La 1.901 0.000 14.190
La 1.901 2.782 11.391
Ho 0.000 0.000 5.341
Ho 0.000 0.000 17.441
Ho 1.901 2.782 6.050
Ho 1.901 2.782 16.732
Hg 0.000 0.000 11.391
Hg 0.000 2.782 8.504
Hg 0.000 2.782 14.278
Hg 1.901 0.000 2.887
Hg 1.901 0.000 19.895
Hg 1.901 2.782 0.000
```

Computed properties:
VASP energy, eV/cell: -55.58
Magnetic moment, μB/f.u.: 0.17

# 4
A relaxed Er2MgCd5 crystal, computed with PBE-GGA.

```
16
Lattice="4.806 0.000 0.000 0.000 4.806 0.000 0.000 0.000 16.177" Properties=species:S:1:pos:R:3 pbc="T T T"
Er 0.000 0.000 4.012
Er 0.000 0.000 12.164
Er 2.403 2.403 4.076
Er 2.403 2.403 12.101
Mg 0.000 0.000 8.088
Mg 2.403 2.403 0.000
Cd 0.000 0.000 0.000
Cd 0.000 2.403 1.911
Cd 0.000 2.403 6.177
Cd 0.000 2.403 9.999
Cd 0.000 2.403 14.266
Cd 2.403 0.000 1.911
Cd 2.403 0.000 6.177
Cd 2.403 0.000 9.999
Cd 2.403 0.000 14.266
Cd 2.403 2.403 8.088
```

Computed properties:
VASP energy, eV/cell: -33.81
Magnetic moment, μB/f.u.: 0.54

# 5
A relaxed MgCoPt4 crystal, computed with PBE-GGA.

```
6
Lattice="0.000 3.709 3.709 3.709 0.000 3.709 3.709 3.709 0.000" Properties=species:S:1:pos:R:3 pbc="T T T"
Mg 0.000 0.000 0.000
Co 1.854 1.854 1.854
Pt 4.635 2.782 2.782
Pt 2.782 4.635 2.782
Pt 2.782 2.782 4.635
Pt 4.635 4.635 4.635
```

Computed properties:
VASP energy, eV/cell: -33.30
Magnetic moment, μB/f.u.: 1.82

# 6
A relaxed K3Os crystal, computed with PBE-GGA.

```
8
Lattice="5.912 0.000 0.000 0.000 7.632 0.000 0.000 0.000 6.527" Properties=species:S:1:pos:R:3 pbc="T T T"
K 1.478 0.017 1.218
K 1.478 1.908 4.129
K 1.478 3.799 1.218
K 4.434 3.833 5.309
K 4.434 5.724 2.397
K 4.434 7.615 5.309
Os 1.478 5.724 4.582
Os 4.434 1.908 1.945
```

Computed properties:
Energy relative to the lowest polymorph listed for this composition, meV per atom: 89
VASP energy, eV/cell: -18.46
Magnetic moment, μB/f.u.: 1.92